This record from the Alexandria database describes an optimized crystal structure of PrHo3Ru2. The functional is PBE.

The calculation puts the energy of formation from the pure elements at -6.95 kcal/mol of atoms. The calculation puts the excess energy over the best structure of this formula in the dataset at 0.0 kJ per mole of atoms. Its density is 9.54 g/cm3. The total DFT energy (no corrections) comes out at -6.479 eV per atom.

Cell lengths 3.418, 3.418, 12.483 Å; angles 90.00, 90.00, 90.00 degrees
Space group P4/mmm (No. 123)
Inequivalent atoms, fractional coordinates:
Pr (0.000, 0.000, 0.000) x1
Ho (0.500, 0.500, 0.233) x2
Ho (0.500, 0.500, 0.500) x1
Ru (0.000, 0.000, 0.359) x2

This record from the Alexandria database describes an optimized crystal structure of Re3P. The functional is PBE.

The calculation puts the energy of formation from the pure elements at 8.70 kcal/mol of atoms. The calculation puts the excess energy over the best structure of this formula in the dataset at 48.1 kJ per mole of atoms. Its density is 16.84 g/cm3. The total DFT energy (no corrections) comes out at -10.311 eV per atom.

Cell lengths 6.149, 6.149, 6.149 Å; angles 90.00, 90.00, 90.00 degrees
Space group Fm-3m (No. 225)
Inequivalent atoms, fractional coordinates:
Re (0.000, 0.000, 0.000) x4
Re (0.250, 0.250, 0.250) x8
P (0.000, 0.000, 0.500) x4

This record from the Alexandria database describes an optimized crystal structure of DyErZnGe. The functional is PBE.

The calculation puts the energy of formation from the pure elements at -14.30 kcal/mol of atoms. The calculation puts the excess energy over the best structure of this formula in the dataset at 0.0 kJ per mole of atoms. Its density is 8.41 g/cm3. The total DFT energy (no corrections) comes out at -4.384 eV per atom.

Cell lengths 4.090, 4.175, 10.818 Å; angles 90.00, 90.00, 90.00 degrees
Space group Amm2 (No. 38)
Inequivalent atoms, fractional coordinates:
Dy (0.000, 0.000, 0.000) x2
Er (0.500, 0.000, 0.282) x2
Zn (0.500, 0.000, 0.567) x2
Ge (0.000, 0.000, 0.720) x2